This record from the Alexandria database describes an optimized crystal structure of InNiNO2. The functional is GGA+U.

a b c (Å): 3.8832 3.8832 3.6330
angles (deg): 90.00 90.00 90.00
Fractional positions:
Ni: 0.0000 0.0000 0.0000
O: 0.0000 0.5000 0.0000
N: 0.0000 0.0000 0.5000
O: 0.5000 0.0000 0.0000
In: 0.5000 0.5000 0.5000

Computed properties:
DOS(E_F) ... 1.21 states/eV/cell
E_tot ... -4.53 eV/atom
SG ... P4/mmm (123)


This record from the Alexandria database describes an optimized crystal structure of InNiNO2. The functional is GGA+U.

a b c (Å): 4.1899 4.1899 4.1734
angles (deg): 90.00 90.00 90.00
Fractional positions:
O: 0.5000 0.0000 0.0000
In: 0.0000 0.0000 0.0000
N: 0.0000 0.0000 0.5000
O: 0.0000 0.5000 0.0000
Ni: 0.5000 0.5000 0.5000

Computed properties:
DOS(E_F) ... 1.96 states/eV/cell
E_tot ... -3.95 eV/atom
SG ... P4/mmm (123)


This record from the Alexandria database describes an optimized crystal structure of InNiN2O. The functional is GGA+U.

a b c (Å): 4.2658 4.2658 4.2202
angles (deg): 90.00 90.00 90.00
Fractional positions:
In: 0.0000 0.0000 0.0000
Ni: 0.5000 0.5000 0.5000
O: 0.0000 0.0000 0.5000
N: 0.5000 0.0000 0.0000
N: 0.0000 0.5000 0.0000

Computed properties:
DOS(E_F) ... 2.62 states/eV/cell
E_tot ... -3.87 eV/atom
SG ... P4/mmm (123)